(1)
Here is a relaxed structure of PaZnHgPd from Alexandria via LeMat-Bulk. Energies are from PBE.

```
4
Lattice="0.000 3.418 3.418 3.418 0.000 3.418 3.418 3.418 0.000" Properties=species:S:1:pos:R:3 pbc="T T T"
Pa 0.000 0.000 0.000
Zn 5.128 5.128 5.128
Hg 3.418 3.418 3.418
Pd 1.709 1.709 1.709
```

Summary:
space-group type	F-43m (216)
energy relative to the elements	-0.20	eV per atom
crystal system	cubic
Fermi-level density of states	3.17	states/eV/f.u.
spin magnetization	0.00	μB per formula unit
electronic total energy	-4.27	eV per atom

(2)
Here is a relaxed structure of Pm2PaHg from Alexandria via LeMat-Bulk. Energies are from PBE.

```
4
Lattice="3.524 0.000 0.000 0.000 3.524 0.000 0.000 0.000 9.100" Properties=species:S:1:pos:R:3 pbc="T T T"
Pm 0.000 0.000 2.165
Pm 0.000 0.000 6.935
Pa 1.762 1.762 4.550
Hg 1.762 1.762 0.000
```

Summary:
space-group type	P4/mmm (123)
energy relative to the elements	-0.10	eV per atom
crystal system	tetragonal
Fermi-level density of states	3.74	states/eV/f.u.
spin magnetization	0.09	μB per formula unit
electronic total energy	-4.92	eV per atom